Entry 1:
DFT (PBE-GGA) results for a geometry-optimized TbPr6Cd structure.

Space group = No. 123
Calculated density = 6939 kg/m3
Distance to the lowest polymorph of the same formula = 0 meV/atom
Total magnetic moment = 0.000 μB per atom
Formation energy = -0.05 eV/atom
Crystal system = tetragonal
DFT total energy = -4.324 eV/atom

a b c (Å): 5.081 5.081 10.354
angles (deg): 90.00 90.00 90.00
Element x y z (fractional)
1 Tb 0.000 0.000 0.000
2 Pr 0.000 0.500 0.255
3 Pr 0.000 0.500 0.745
4 Pr 0.500 0.000 0.255
5 Pr 0.500 0.000 0.745
6 Pr 0.500 0.500 0.000
7 Pr 0.500 0.500 0.500
8 Cd 0.000 0.000 0.500



Entry 2:
DFT (PBE-GGA) results for a geometry-optimized Ca3Hg2Sb structure.

Space group = No. 65
Calculated density = 6378 kg/m3
Total magnetic moment = 0.000 μB per atom
Crystal system = orthorhombic
DFT total energy = -2.509 eV/atom

a b c (Å): 8.633 8.633 7.570
angles (deg): 90.00 90.00 143.59
Element x y z (fractional)
1 Ca 0.000 0.000 0.244
2 Ca 0.000 0.000 0.756
3 Ca 0.332 0.668 0.252
4 Ca 0.332 0.668 0.748
5 Ca 0.668 0.332 0.252
6 Ca 0.668 0.332 0.748
7 Hg 0.167 0.833 0.000
8 Hg 0.500 0.500 0.000
9 Hg 0.500 0.500 0.500
10 Hg 0.833 0.167 0.000
11 Sb 0.158 0.842 0.500
12 Sb 0.842 0.158 0.500



Entry 3:
DFT (PBE-GGA) results for a geometry-optimized AcNd2PuAs4 structure.

Space group = No. 10
Calculated density = 7735 kg/m3
Total magnetic moment = 0.617 μB per atom
Formation energy = -1.34 eV/atom
Crystal system = monoclinic
DFT total energy = -7.157 eV/atom

a b c (Å): 7.469 4.318 7.476
angles (deg): 90.00 109.41 90.00
Element x y z (fractional)
1 Ac 0.000 0.000 0.000
2 Nd 0.000 0.500 0.500
3 Nd 0.500 0.000 0.500
4 Pu 0.500 0.500 0.000
5 As 0.262 0.000 0.753
6 As 0.263 0.500 0.256
7 As 0.737 0.500 0.744
8 As 0.738 0.000 0.247



Entry 4:
DFT (PBE-GGA) results for a geometry-optimized AcEuTlHg structure.

Space group = No. 216
Calculated density = 9956 kg/m3
Total magnetic moment = 1.819 μB per atom
Formation energy = -0.47 eV/atom
Crystal system = cubic
DFT total energy = -4.731 eV/atom

a b c (Å): 5.697 5.697 5.697
angles (deg): 60.00 60.00 60.00
Element x y z (fractional)
1 Ac 0.000 0.000 0.000
2 Eu 0.500 0.500 0.500
3 Tl 0.250 0.250 0.250
4 Hg 0.750 0.750 0.750



Entry 5:
DFT (PBE-GGA) results for a geometry-optimized Sm3Te2Pt structure.

Space group = No. 70
Calculated density = 8366 kg/m3
Distance to the lowest polymorph of the same formula = 0 meV/atom
Total magnetic moment = 0.000 μB per atom
Crystal system = orthorhombic
DFT total energy = -5.729 eV/atom

a b c (Å): 14.331 13.659 7.650
angles (deg): 79.04 69.35 31.61
Element x y z (fractional)
1 Sm 0.036 0.535 0.187
2 Sm 0.093 0.657 0.657
3 Sm 0.187 0.742 0.036
4 Sm 0.258 0.813 0.465
5 Sm 0.343 0.907 0.907
6 Sm 0.465 0.964 0.258
7 Sm 0.535 0.036 0.742
8 Sm 0.657 0.093 0.093
9 Sm 0.742 0.187 0.535
10 Sm 0.813 0.258 0.964
11 Sm 0.907 0.343 0.343
12 Sm 0.964 0.465 0.813
13 Te 0.129 0.129 0.621
14 Te 0.296 0.296 0.454
15 Te 0.379 0.379 0.871
16 Te 0.454 0.454 0.296
17 Te 0.546 0.546 0.704
18 Te 0.621 0.621 0.129
19 Te 0.704 0.704 0.546
20 Te 0.871 0.871 0.379
21 Pt 0.041 0.041 0.209
22 Pt 0.209 0.209 0.041
23 Pt 0.791 0.791 0.959
24 Pt 0.959 0.959 0.791



Entry 6:
DFT (PBE-GGA) results for a geometry-optimized CdRhCl2 structure.

Space group = No. 166
Calculated density = 4767 kg/m3
Distance to the lowest polymorph of the same formula = 253 meV/atom
Total magnetic moment = 0.273 μB per atom
Crystal system = trigonal
DFT total energy = -3.100 eV/atom

a b c (Å): 9.457 9.457 9.457
angles (deg): 21.52 21.52 21.52
Element x y z (fractional)
1 Cd 0.000 0.000 0.000
2 Rh 0.500 0.500 0.500
3 Cl 0.116 0.116 0.116
4 Cl 0.884 0.884 0.884



Entry 7:
DFT (PBE-GGA) results for a geometry-optimized K2In2Hg structure.

Space group = No. 12
Calculated density = 4874 kg/m3
Distance to the lowest polymorph of the same formula = 0 meV/atom
Total magnetic moment = 0.000 μB per atom
Formation energy = -0.14 eV/atom
Crystal system = monoclinic
DFT total energy = -1.730 eV/atom

a b c (Å): 6.716 6.716 10.675
angles (deg): 95.58 95.58 46.35
Element x y z (fractional)
1 K 0.039 0.039 0.153
2 K 0.381 0.381 0.316
3 K 0.619 0.619 0.684
4 K 0.961 0.961 0.847
5 In 0.274 0.274 0.940
6 In 0.315 0.315 0.655
7 In 0.685 0.685 0.345
8 In 0.726 0.726 0.060
9 Hg 0.117 0.117 0.460
10 Hg 0.883 0.883 0.540



Entry 8:
DFT (PBE-GGA) results for a geometry-optimized CeCdCu structure.

Space group = No. 107
Calculated density = 8487 kg/m3
Distance to the lowest polymorph of the same formula = 85 meV/atom
Total magnetic moment = 0.001 μB per atom
Formation energy = -0.09 eV/atom
Crystal system = tetragonal
DFT total energy = -3.733 eV/atom

a b c (Å): 6.581 6.581 6.581
angles (deg): 152.21 152.21 39.71
Element x y z (fractional)
1 Ce 0.000 0.000 0.000
2 Cd 0.294 0.294 0.000
3 Cu 0.661 0.661 0.000



Entry 9:
DFT (PBE-GGA) results for a geometry-optimized Sc8Zn2Ru structure.

Space group = No. 8
Calculated density = 4135 kg/m3
Distance to the lowest polymorph of the same formula = 117 meV/atom
Total magnetic moment = 0.000 μB per atom
Formation energy = -0.15 eV/atom
Crystal system = monoclinic
DFT total energy = -5.831 eV/atom

a b c (Å): 7.609 7.609 5.179
angles (deg): 102.88 102.88 118.35
Element x y z (fractional)
1 Sc 0.000 0.000 0.000
2 Sc 0.032 0.263 0.577
3 Sc 0.167 0.560 0.210
4 Sc 0.263 0.032 0.577
5 Sc 0.464 0.695 0.842
6 Sc 0.560 0.167 0.210
7 Sc 0.695 0.464 0.842
8 Sc 0.727 0.727 0.419
9 Zn 0.064 0.663 0.709
10 Zn 0.663 0.064 0.709
11 Ru 0.363 0.363 0.211



Entry 10:
DFT (PBE-GGA) results for a geometry-optimized NaCa2Au structure.

Space group = No. 123
Calculated density = 4033 kg/m3
Distance to the lowest polymorph of the same formula = 0 meV/atom
Total magnetic moment = 0.000 μB per atom
Formation energy = -0.41 eV/atom
Crystal system = tetragonal
DFT total energy = -2.556 eV/atom

a b c (Å): 3.736 3.736 8.854
angles (deg): 90.00 90.00 90.00
Element x y z (fractional)
1 Na 0.000 0.000 0.000
2 Ca 0.500 0.500 0.308
3 Ca 0.500 0.500 0.692
4 Au 0.000 0.000 0.500



Entry 11:
DFT (PBE-GGA) results for a geometry-optimized MgCl4F2 structure.

Space group = No. 139
Calculated density = 1687 kg/m3
Total magnetic moment = 0.000 μB per atom
Crystal system = tetragonal
DFT total energy = -2.593 eV/atom

a b c (Å): 9.374 9.374 9.374
angles (deg): 150.36 150.36 42.41
Element x y z (fractional)
1 Mg 0.000 0.000 0.000
2 Cl 0.000 0.500 0.500
3 Cl 0.228 0.228 0.000
4 Cl 0.500 0.000 0.500
5 Cl 0.772 0.772 0.000
6 F 0.322 0.322 0.000
7 F 0.678 0.678 0.000



Entry 12:
DFT (PBE-GGA) results for a geometry-optimized LaNdNi17 structure.

Space group = No. 160
Calculated density = 8621 kg/m3
Total magnetic moment = 0.377 μB per atom
Formation energy = -0.16 eV/atom
Crystal system = trigonal
DFT total energy = -5.842 eV/atom

a b c (Å): 6.313 6.313 6.313
angles (deg): 83.22 83.22 83.22
Element x y z (fractional)
1 La 0.000 0.000 0.000
2 Nd 0.681 0.681 0.681
3 Ni 0.053 0.342 0.630
4 Ni 0.053 0.630 0.342
5 Ni 0.190 0.684 0.684
6 Ni 0.243 0.243 0.243
7 Ni 0.342 0.053 0.630
8 Ni 0.342 0.342 0.841
9 Ni 0.342 0.630 0.053
10 Ni 0.342 0.841 0.342
11 Ni 0.440 0.440 0.440
12 Ni 0.493 0.998 0.998
13 Ni 0.630 0.053 0.342
14 Ni 0.630 0.342 0.053
15 Ni 0.684 0.190 0.684
16 Ni 0.684 0.684 0.190
17 Ni 0.841 0.342 0.342
18 Ni 0.998 0.493 0.998
19 Ni 0.998 0.998 0.493